## Ta3CdW (PBE)

Data for a relaxed Ta3CdW crystal.

Properties
SG ... No. 221
Total magnetization ... 0.0000 μB per atom
Offset from the most stable computed form ... 5.668 eV per formula unit
Formation energy ... 2.562 eV per atom
Electronic total energy ... -36.62 eV/cell

abc: 4.860 4.860 4.860
angles: 90.00 90.00 90.00
Fractional positions:
W (0.500, 0.500, 0.500)
Ta (0.500, 0.000, 0.000)
Cd (0.000, 0.000, 0.000)
Ta (0.000, 0.000, 0.500)
Ta (0.000, 0.500, 0.000)


## Ca4Tl2Pb3 (PBE)

Data for a relaxed Ca4Tl2Pb3 crystal.

Properties
SG ... No. 12
Total magnetization ... 0.0000 μB per atom
Formation energy ... -0.391 eV per atom
Electronic total energy ... -27.39 eV/cell

abc: 5.504 5.505 10.507
angles: 89.89 89.98 60.01
Fractional positions:
Ca (0.999, 0.001, 0.678)
Pb (0.334, 0.332, 0.438)
Ca (0.334, 0.333, 0.106)
Pb (0.000, 0.000, 0.000)
Tl (0.333, 0.335, 0.766)
Pb (0.666, 0.668, 0.562)
Ca (0.666, 0.667, 0.894)
Ca (0.001, 0.999, 0.322)
Tl (0.667, 0.665, 0.234)


## La4Er3Al4 (PBE)

Data for a relaxed La4Er3Al4 crystal.

Properties
SG ... No. 71
Total magnetization ... 0.0000 μB per atom
Formation energy ... -0.079 eV per atom
Electronic total energy ... -49.24 eV/cell

abc: 4.580 9.318 9.335
angles: 119.94 104.20 90.00
Fractional positions:
Al (0.737, 0.237, 0.474)
Al (0.500, 0.141, 0.000)
La (0.662, 0.829, 0.325)
Er (0.111, 0.111, 0.222)
Al (0.500, 0.859, 0.000)
La (0.338, 0.171, 0.675)
La (0.338, 0.504, 0.675)
Al (0.263, 0.763, 0.526)
La (0.662, 0.496, 0.325)
Er (0.889, 0.889, 0.778)
Er (0.000, 0.500, 0.000)


## Sr3PuTh2N6 (PBE)

Data for a relaxed Sr3PuTh2N6 crystal.

Properties
SG ... No. 12
Total magnetization ... 0.3339 μB per atom
Formation energy (no corrections) ... -1.20 eV/atom
Electronic total energy ... -98.55 eV/cell

abc: 6.381 6.381 6.419
angles: 99.53 99.53 120.00
Site moments in Bohr magnetons follow the coordinates.
Fractional positions:
N (0.390, 0.069, 0.206)  -0.07
Sr (0.836, 0.164, 0.500)  0.02
Th (0.667, 0.333, 0.000)  0.02
N (0.610, 0.931, 0.794)  -0.07
N (0.931, 0.610, 0.794)  -0.07
Sr (0.164, 0.836, 0.500)  0.02
N (0.746, 0.746, 0.205)  -0.07
N (0.254, 0.254, 0.795)  -0.07
Sr (0.500, 0.500, 0.500)  0.02
Pu (0.000, 0.000, 0.000)  4.21
Th (0.333, 0.667, 0.000)  0.02
N (0.069, 0.390, 0.206)  -0.07


## AcMo4 (PBE)

Data for a relaxed AcMo4 crystal.

Properties
SG ... No. 221
Total magnetization ... 0.2632 μB per atom
Formation energy ... 3.041 eV per atom
Electronic total energy ... -32.23 eV/cell

abc: 4.912 4.912 4.912
angles: 90.00 90.00 90.00
Site moments in Bohr magnetons follow the coordinates.
Fractional positions:
Mo (0.000, 0.000, 0.000)  2.33
Mo (0.000, 0.500, 0.500)  -0.40
Mo (0.500, 0.000, 0.500)  -0.40
Ac (0.500, 0.500, 0.500)  -0.03
Mo (0.500, 0.500, 0.000)  -0.40


## Li2CuAg (PBE)

Data for a relaxed Li2CuAg crystal.

Properties
SG ... No. 25
Total magnetization ... 0.0000 μB per atom
Formation energy ... -0.087 eV per atom
Electronic total energy ... -11.12 eV/cell

abc: 4.507 2.768 4.776
angles: 90.00 90.00 90.00
Fractional positions:
Ag (0.000, 0.625, 0.459)
Li (0.500, 0.125, 0.296)
Li (0.000, 0.125, 0.948)
Cu (0.500, 0.625, 0.796)


## Tl2Hg2O5 (PBE)

Data for a relaxed Tl2Hg2O5 crystal.

Properties
SG ... No. 64
Total magnetization ... 0.0000 μB per atom
Formation energy (no corrections) ... -0.28 eV/atom
Electronic total energy ... -65.27 eV/cell

abc: 6.424 7.381 6.859
angles: 122.55 90.00 90.00
Fractional positions:
Tl (0.183, 0.715, 0.000)
O (0.577, 0.061, 0.732)
Hg (0.500, 0.715, 0.430)
Hg (0.500, 0.285, 0.570)
O (0.423, 0.671, 0.732)
O (0.500, 0.500, 0.000)
Tl (0.683, 0.785, 0.000)
Tl (0.317, 0.215, 0.000)
O (0.077, 0.439, 0.268)
Tl (0.817, 0.285, 0.000)
O (0.000, 0.000, 0.000)
O (0.577, 0.329, 0.268)
O (0.923, 0.561, 0.732)
O (0.923, 0.829, 0.268)
Hg (0.000, 0.785, 0.570)
O (0.077, 0.171, 0.732)
O (0.423, 0.939, 0.268)
Hg (0.000, 0.215, 0.430)


## UAlVTc (PBE)

Data for a relaxed UAlVTc crystal.

Properties
SG ... No. 216
Total magnetization ... 0.2785 μB per atom
Formation energy ... -0.099 eV per atom
Electronic total energy ... -34.91 eV/cell

abc: 4.530 4.530 4.530
angles: 60.00 60.00 60.00
Site moments in Bohr magnetons follow the coordinates.
Fractional positions:
U (0.500, 0.500, 0.500)  0.59
Tc (0.250, 0.250, 0.250)  0.05
V (0.750, 0.750, 0.750)  0.42
Al (0.000, 0.000, 0.000)  -0.01